Density functional theory data (GGA-PBE) for a geometry-optimized ThSc2Pd3 structure.

Cell lengths 4.659, 5.756, 5.756 Å; angles 120.00, 90.00, 90.00 degrees
Last column: magnetic moment on the atom in μB.
Sites, in units of the cell vectors:
1 Th 0.000 0.000 0.000  0.05
2 Sc 0.500 0.333 0.667  0.24
3 Sc 0.500 0.667 0.333  0.24
4 Pd 0.000 0.500 0.000  0.01
5 Pd 0.000 0.500 0.500  0.01
6 Pd 0.000 0.000 0.500  0.01

The calculated density comes out at 7965 kg/m³. The value obtained for the formation energy is -3.98 eV per formula unit. The magnetization comes out at 0.92 μB per cell. For the final energy, the calculation gives -6.6077 eV per atom.